Below is a crystal of YRe2Pt relaxed with PBEsol, with properties calculated at the meta-GGA SCAN level.

The formation enthalpy at 0 K comes out at 26.1 kJ/mol of atoms. Its relative energy among the computed polymorphs is 152 kJ/mol of formula units. The volume is 16.69 A^3/atom. As for the density of states at the Fermi level: 2.77 states/eV/cell.

It has space group P4/mmm (No. 123), with a = 2.7654 Å, b = 2.7654 Å, c = 8.7317 Å, α = 90.00°, β = 90.00° and γ = 90.00°. The asymmetric unit holds Y at (0.0000, 0.0000, 0.0000), Re at (0.5000, 0.5000, 0.2771) and Pt at (0.0000, 0.0000, 0.5000).